A geometry-optimized BaNaPr2S4 structure, computed with PBE.

## Properties
Uncorrected formation energy in meV/atom: -1818
SG: Cmcm

Cell lengths 4.234, 7.330, 14.462 Å; angles 90.00, 90.00, 106.79 degrees
Element x y z (fractional)
1 Ba 0.121 0.243 0.750
2 Ba 0.879 0.757 0.250
3 Na 0.850 0.701 0.750
4 Na 0.150 0.299 0.250
5 Pr 0.374 0.748 0.554
6 Pr 0.626 0.252 0.054
7 Pr 0.626 0.252 0.446
8 Pr 0.374 0.748 0.946
9 S 0.268 0.536 0.112
10 S 0.732 0.464 0.612
11 S 0.732 0.464 0.888
12 S 0.268 0.536 0.388
13 S 0.000 0.000 0.500
14 S 0.000 0.000 0.000
15 S 0.455 0.910 0.750
16 S 0.545 0.090 0.250

=====

A geometry-optimized Ba2NaPrS4 structure, computed with PBE.

## Properties
Uncorrected formation energy in meV/atom: -1870
SG: P2/m

Cell lengths 4.366, 7.514, 7.506 Å; angles 71.19, 90.00, 90.00 degrees
Element x y z (fractional)
1 Ba 0.000 0.000 0.000
2 Ba 0.500 0.000 0.500
3 Na 0.500 0.500 0.000
4 Pr 0.000 0.500 0.500
5 S 0.000 0.731 0.741
6 S 0.000 0.269 0.259
7 S 0.500 0.723 0.267
8 S 0.500 0.277 0.733

=====

A geometry-optimized BaNaPrSe3 structure, computed with PBE.

## Properties
Uncorrected formation energy in meV/atom: -1680
SG: P2_1/m

Cell lengths 4.463, 9.117, 9.647 Å; angles 104.80, 90.00, 90.00 degrees
Element x y z (fractional)
1 Ba 0.750 0.797 0.764
2 Ba 0.250 0.203 0.236
3 Na 0.250 0.090 0.584
4 Na 0.750 0.910 0.416
5 Pr 0.250 0.672 0.161
6 Pr 0.750 0.328 0.839
7 Se 0.250 0.762 0.486
8 Se 0.750 0.888 0.125
9 Se 0.750 0.447 0.160
10 Se 0.750 0.238 0.514
11 Se 0.250 0.553 0.840
12 Se 0.250 0.112 0.875

=====

A geometry-optimized Ba4NaPr3Se8 structure, computed with PBE.

## Properties
Uncorrected formation energy in meV/atom: -1879
SG: R-3m

Cell lengths 8.919, 9.015, 8.920 Å; angles 119.64, 120.00, 90.00 degrees
Element x y z (fractional)
1 Ba 0.500 0.000 0.000
2 Ba 0.500 0.000 0.500
3 Ba 0.000 0.000 0.000
4 Ba 0.000 0.000 0.500
5 Na 0.000 0.500 0.000
6 Pr 0.500 0.500 0.000
7 Pr 0.500 0.500 0.500
8 Pr 0.000 0.500 0.500
9 Se 0.244 0.724 0.980
10 Se 0.244 0.725 0.489
11 Se 0.258 0.275 0.517
12 Se 0.736 0.724 0.980
13 Se 0.264 0.276 0.020
14 Se 0.742 0.725 0.483
15 Se 0.756 0.275 0.511
16 Se 0.756 0.276 0.020

=====

A geometry-optimized Ba3NaPr2Te6 structure, computed with PBE.

## Properties
Uncorrected formation energy in meV/atom: -1554
SG: C2/m

Cell lengths 8.249, 8.249, 8.306 Å; angles 99.51, 99.51, 119.98 degrees
Element x y z (fractional)
1 Ba 0.164 0.836 0.500
2 Ba 0.836 0.164 0.500
3 Ba 0.500 0.500 0.500
4 Na 0.000 0.000 0.000
5 Pr 0.333 0.667 0.000
6 Pr 0.667 0.333 0.000
7 Te 0.924 0.585 0.773
8 Te 0.736 0.736 0.224
9 Te 0.076 0.415 0.227
10 Te 0.585 0.924 0.773
11 Te 0.264 0.264 0.776
12 Te 0.415 0.076 0.227

=====

A geometry-optimized Ba2NaPrTe4 structure, computed with PBE.

## Properties
Uncorrected formation energy in meV/atom: -1516
SG: P2/m

Cell lengths 4.805, 8.318, 8.265 Å; angles 108.92, 90.00, 90.00 degrees
Element x y z (fractional)
1 Ba 0.500 0.000 0.500
2 Ba 0.000 0.500 0.500
3 Na 0.500 0.500 0.000
4 Pr 0.000 0.000 0.000
5 Te 0.500 0.237 0.224
6 Te 0.500 0.763 0.776
7 Te 0.000 0.247 0.771
8 Te 0.000 0.753 0.229

=====

What is the formula in the third record?
BaNaPrSe3